Entry 1:
This record from the Alexandria database describes crystalline Na3MnC at its relaxed geometry. The functional is PBE-GGA.

The structure in POSCAR format:
```
Na3MnC
1.0
-2.424 -1.613 -4.001
-3.858 -1.244 2.839
-1.931 4.510 -0.648
Na C Mn
3 1 1
Direct
0.000 0.500 0.000 Na
0.000 0.000 0.500 Na
0.500 0.000 0.000 Na
0.000 0.000 0.000 C
0.500 0.500 0.500 Mn
```

Values from the calculation:
**Symmetry**: Pm-3m, No. 221
**V**: 24.2 Å³/atom
**ΔH_f (0 K)**: 1270 meV per atom
**DFT total energy**: -3.2006 eV/atom

Entry 2:
This record from the Alexandria database describes crystalline SrLi2PRh at its relaxed geometry. The functional is PBE-GGA.

The structure in POSCAR format:
```
SrLi2PRh
1.0
-1.841 -3.170 3.014
0.956 -3.482 -3.079
4.050 -0.557 1.887
Sr Li Rh P
1 2 1 1
Direct
0.500 0.500 0.500 Sr
0.000 0.500 0.000 Li
0.500 0.000 0.000 Li
0.000 0.000 0.000 Rh
0.000 0.000 0.500 P
```

Values from the calculation:
**Symmetry**: P4/mmm, No. 123
**V**: 20.3 Å³/atom
**ΔH_f (0 K)**: -479 meV per atom
**DFT total energy**: -4.1331 eV/atom

Entry 3:
This record from the Alexandria database describes crystalline Nb5Cu3H12 at its relaxed geometry. The functional is PBE-GGA.

The structure in POSCAR format:
```
Nb5Cu3H12
1.0
9.673 0.000 0.000
-3.224 9.120 0.000
-3.224 -4.560 7.898
Cu Nb H
12 20 48
Direct
0.750 0.375 0.125 Cu
0.875 0.750 0.125 Cu
0.375 0.750 0.625 Cu
0.250 0.125 0.375 Cu
0.875 0.125 0.250 Cu
0.375 0.625 0.250 Cu
0.625 0.375 0.750 Cu
0.125 0.875 0.750 Cu
0.750 0.875 0.625 Cu
0.625 0.250 0.375 Cu
0.125 0.250 0.875 Cu
0.250 0.625 0.875 Cu
0.125 0.375 0.250 Nb
0.000 0.500 0.000 Nb
0.000 0.000 0.000 Nb
0.375 0.250 0.125 Nb
0.500 0.000 0.500 Nb
0.500 0.500 0.000 Nb
0.125 0.750 0.375 Nb
0.750 0.125 0.875 Nb
0.750 0.625 0.375 Nb
0.375 0.125 0.750 Nb
0.625 0.875 0.250 Nb
0.500 0.500 0.500 Nb
0.500 0.000 0.000 Nb
0.000 0.000 0.500 Nb
0.250 0.375 0.625 Nb
0.250 0.875 0.125 Nb
0.000 0.500 0.500 Nb
0.875 0.250 0.625 Nb
0.625 0.750 0.875 Nb
0.875 0.625 0.750 Nb
0.717 0.169 0.062 H
0.345 0.562 0.393 H
0.938 0.331 0.283 H
0.562 0.217 0.169 H
0.548 0.717 0.655 H
0.938 0.607 0.155 H
0.345 0.783 0.452 H
0.107 0.952 0.169 H
0.607 0.938 0.655 H
0.717 0.548 0.155 H
0.783 0.438 0.331 H
0.845 0.893 0.062 H
0.169 0.717 0.562 H
0.331 0.393 0.048 H
0.048 0.893 0.331 H
0.452 0.169 0.607 H
0.048 0.155 0.217 H
0.438 0.655 0.107 H
0.845 0.952 0.283 H
0.169 0.452 0.107 H
0.331 0.938 0.783 H
0.607 0.669 0.452 H
0.893 0.845 0.562 H
0.783 0.345 0.952 H
0.393 0.331 0.548 H
0.107 0.155 0.438 H
0.217 0.655 0.048 H
0.155 0.048 0.717 H
0.669 0.062 0.217 H
0.831 0.548 0.893 H
0.562 0.345 0.893 H
0.548 0.831 0.393 H
0.952 0.845 0.783 H
0.952 0.107 0.669 H
0.831 0.283 0.438 H
0.155 0.107 0.938 H
0.669 0.607 0.952 H
0.393 0.062 0.345 H
0.283 0.452 0.845 H
0.217 0.562 0.669 H
0.893 0.048 0.831 H
0.655 0.217 0.548 H
0.438 0.783 0.831 H
0.062 0.393 0.845 H
0.452 0.283 0.345 H
0.062 0.669 0.717 H
0.655 0.438 0.607 H
0.283 0.831 0.938 H
```

Values from the calculation:
**Symmetry**: Ia-3d, No. 230
**V**: 8.7 Å³/atom
**DFT total energy**: -5.0897 eV/atom

Entry 4:
This record from the Alexandria database describes crystalline P2H4I5 at its relaxed geometry. The functional is PBE-GGA.

The structure in POSCAR format:
```
P2H4I5
1.0
3.745 0.000 0.000
0.000 7.381 0.158
-1.873 -1.881 11.914
P H I
2 4 5
Direct
0.644 0.374 0.288 P
0.356 0.626 0.712 P
0.692 0.511 0.384 H
0.027 0.909 0.053 H
0.308 0.489 0.616 H
0.973 0.091 0.947 H
0.099 0.585 0.198 I
0.901 0.415 0.802 I
0.201 0.193 0.402 I
0.500 0.000 0.000 I
0.799 0.807 0.598 I
```

Values from the calculation:
**Symmetry**: C2/m, No. 12
**V**: 30.0 Å³/atom
**DFT total energy**: -2.7367 eV/atom

Entry 5:
This record from the Alexandria database describes crystalline NbRu3 at its relaxed geometry. The functional is PBE-GGA.

The structure in POSCAR format:
```
NbRu3
1.0
2.828 0.000 0.000
0.000 4.762 0.000
0.000 0.000 4.429
Ru Nb
3 1
Direct
0.500 0.155 0.000 Ru
0.500 0.503 0.500 Ru
0.000 0.016 0.500 Ru
0.000 0.659 0.000 Nb
```

Values from the calculation:
**Symmetry**: Pmm2, No. 25
**V**: 14.9 Å³/atom
**ΔH_f (0 K)**: -75 meV per atom
**DFT total energy**: -9.5489 eV/atom

Entry 6:
This record from the Alexandria database describes crystalline TiInBr4 at its relaxed geometry. The functional is PBE-GGA.

The structure in POSCAR format:
```
TiInBr4
1.0
-5.296 1.989 -3.320
0.527 -5.780 -4.305
-2.008 -3.458 7.611
Ti In Br
2 2 8
Direct
0.500 0.000 0.500 Ti
0.000 0.500 0.500 Ti
0.800 0.750 0.000 In
0.200 0.250 0.000 In
0.500 0.046 0.798 Br
0.701 0.454 0.202 Br
0.500 0.954 0.202 Br
0.299 0.546 0.798 Br
0.869 0.834 0.612 Br
0.257 0.666 0.388 Br
0.131 0.166 0.388 Br
0.743 0.334 0.612 Br
```

Values from the calculation:
**Symmetry**: C2/c, No. 15
**V**: 30.5 Å³/atom
**Formation energy (no corrections)**: -0.963 eV per atom
**Relative energy among the computed polymorphs**: 0.029 eV/atom
**DFT total energy**: -3.8508 eV/atom

Entry 7:
This record from the Alexandria database describes crystalline B3MoN at its relaxed geometry. The functional is PBE-GGA.

The structure in POSCAR format:
```
B3MoN
1.0
-0.149 0.822 3.364
-2.649 -2.196 0.419
2.231 -2.552 0.723
Mo B N
1 3 1
Direct
0.500 0.500 0.500 Mo
0.000 0.500 0.000 B
0.000 0.000 0.500 B
0.500 0.000 0.000 B
0.000 0.000 0.000 N
```

Values from the calculation:
**Symmetry**: Pm-3m, No. 221
**V**: 8.3 Å³/atom
**Formation energy (no corrections)**: 1.371 eV per atom
**Relative energy among the computed polymorphs**: 0.000 eV/atom
**DFT total energy**: -6.4672 eV/atom

Entry 8:
This record from the Alexandria database describes crystalline Nd4Ho5In at its relaxed geometry. The functional is PBE-GGA.

The structure in POSCAR format:
```
Nd4Ho5In
1.0
-1.283 -0.302 3.361
-1.006 -3.399 -0.689
21.809 -7.997 7.606
Nd Ho In
4 5 1
Direct
0.000 0.000 0.188 Nd
0.000 0.000 0.397 Nd
0.000 0.000 0.603 Nd
0.000 0.000 0.812 Nd
0.500 0.500 0.084 Ho
0.500 0.500 0.293 Ho
0.500 0.500 0.500 Ho
0.500 0.500 0.707 Ho
0.500 0.500 0.916 Ho
0.000 0.000 0.000 In
```

Values from the calculation:
**Symmetry**: P4/mmm, No. 123
**V**: 31.9 Å³/atom
**ΔH_f (0 K)**: -83 meV per atom
**Relative energy among the computed polymorphs**: 0.000 eV/atom
**DFT total energy**: -4.5530 eV/atom

Entry 9:
This record from the Alexandria database describes crystalline Ce2ThBe at its relaxed geometry. The functional is PBE-GGA.

The structure in POSCAR format:
```
Ce2ThBe
1.0
-0.178 -0.296 3.288
2.511 -1.346 1.677
5.563 9.871 2.852
Be Ce Th
1 2 1
Direct
0.000 0.000 0.000 Be
0.084 0.084 0.747 Ce
0.916 0.916 0.253 Ce
0.500 0.500 0.500 Th
```

Values from the calculation:
**Symmetry**: R-3m, No. 166
**V**: 27.3 Å³/atom
**ΔH_f (0 K)**: 722 meV per atom
**Relative energy among the computed polymorphs**: 0.612 eV/atom
**DFT total energy**: -5.0316 eV/atom

Entry 10:
This record from the Alexandria database describes crystalline MnBi2Mo at its relaxed geometry. The functional is PBE-GGA.

The structure in POSCAR format:
```
MnBi2Mo
1.0
2.131 -3.128 -2.922
2.652 -3.541 1.813
-1.564 -4.513 -0.222
Mo Mn Bi
1 1 2
Direct
0.500 0.500 0.500 Mo
0.000 0.000 0.000 Mn
0.250 0.250 0.250 Bi
0.750 0.750 0.750 Bi
```

Values from the calculation:
**Symmetry**: Fm-3m, No. 225
**V**: 19.3 Å³/atom
**ΔH_f (0 K)**: 838 meV per atom
**Relative energy among the computed polymorphs**: 0.000 eV/atom
**DFT total energy**: -6.1028 eV/atom

Entry 11:
This record from the Alexandria database describes crystalline TaPOs2O at its relaxed geometry. The functional is PBE-GGA.

The structure in POSCAR format:
```
TaPOs2O
1.0
4.292 0.000 0.000
0.000 4.697 0.000
0.000 0.000 4.292
P Os O Ta
1 2 1 1
Direct
0.000 0.000 0.000 P
0.000 0.000 0.500 Os
0.500 0.000 0.000 Os
0.500 0.500 0.500 O
0.000 0.500 0.000 Ta
```

Values from the calculation:
**Symmetry**: P4/mmm, No. 123
**V**: 17.3 Å³/atom
**Formation energy (no corrections)**: 1.275 eV per atom
**DFT total energy**: -7.6608 eV/atom

Entry 12:
This record from the Alexandria database describes crystalline ScAlNiAu at its relaxed geometry. The functional is PBE-GGA.

The structure in POSCAR format:
```
ScAlNiAu
1.0
-1.134 -1.548 -4.065
0.263 -4.400 -0.883
-3.755 -2.417 -0.518
Sc Ni Au Al
1 1 1 1
Direct
0.500 0.500 0.500 Sc
0.250 0.250 0.250 Ni
0.750 0.750 0.750 Au
0.000 0.000 0.000 Al
```

Values from the calculation:
**Symmetry**: F-43m, No. 216
**V**: 16.1 Å³/atom
**ΔH_f (0 K)**: -604 meV per atom
**DFT total energy**: -5.3872 eV/atom